A relaxed Ta6MoOs crystal. Source: Alexandria via LeMat-Bulk, functional PBE.

Unit cell a=7.3620 b=7.3620 c=7.3620 alpha=143.83 beta=143.83 gamma=52.08
Fractional coordinates of all 8 atoms:
Ta 0.1203 0.6203 0.5000
Ta 0.2488 0.2488 0.0000
Ta 0.3797 0.8797 0.5000
Ta 0.6203 0.1203 0.5000
Ta 0.7512 0.7512 0.0000
Ta 0.8797 0.3797 0.5000
Mo 0.0000 0.0000 0.0000
Os 0.5000 0.5000 0.0000

Properties
Energy relative to the elements (eV per atom): -0.234
Total magnetization (μB per atom): 0.00